Material: RbHfAu3O4
Method: DFT, PBE-GGA
State: relaxed

abc: 5.7102 5.7102 5.7102
angles: 90.00 90.00 90.00
Element x y z (fractional)
Rb  0.0000  0.0000  0.0000
Hf  0.5000  0.5000  0.5000
Au  0.0000  0.5000  0.5000
Au  0.5000  0.0000  0.5000
Au  0.5000  0.5000  0.0000
O  0.2959  0.2959  0.2959
O  0.2959  0.7041  0.7041
O  0.7041  0.2959  0.7041
O  0.7041  0.7041  0.2959

Material: PrAgO3
Method: DFT, PBE-GGA
State: relaxed

abc: 4.4118 4.4118 4.6628
angles: 90.00 90.00 90.00
Element x y z (fractional)
Pr  0.0000  0.0000  0.0000
Ag  0.5000  0.5000  0.2483
O  0.0000  0.0000  0.5209
O  0.0000  0.5000  0.1560
O  0.5000  0.0000  0.1560

Material: ScGa2NiPt4
Method: DFT, PBE-GGA
State: relaxed

abc: 4.0538 4.0538 7.3224
angles: 90.00 90.00 90.00
Element x y z (fractional)
Sc  0.0000  0.0000  0.0000
Ga  0.0000  0.0000  0.5000
Ga  0.5000  0.5000  0.0000
Ni  0.5000  0.5000  0.5000
Pt  0.0000  0.5000  0.2579
Pt  0.0000  0.5000  0.7421
Pt  0.5000  0.0000  0.2579
Pt  0.5000  0.0000  0.7421

Material: Tb3Mg3In2Pt
Method: DFT, PBE-GGA
State: relaxed

abc: 7.5028 7.5028 4.5007
angles: 90.00 90.00 120.00
Element x y z (fractional)
Tb  0.0000  0.6019  0.0000
Tb  0.3981  0.3981  0.0000
Tb  0.6019  0.0000  0.0000
Mg  0.0000  0.2319  0.5000
Mg  0.2319  0.0000  0.5000
Mg  0.7681  0.7681  0.5000
In  0.3333  0.6667  0.5000
In  0.6667  0.3333  0.5000
Pt  0.0000  0.0000  0.0000

Material: Y2Fe14B
Method: DFT, PBE-GGA
State: relaxed

abc: 8.7198 8.7198 11.9257
angles: 90.00 90.00 90.00
Element x y z (fractional)
Y  0.1431  0.1431  0.0000
Y  0.2328  0.2328  0.5000
Y  0.2672  0.7328  0.0000
Y  0.3569  0.6431  0.5000
Y  0.6431  0.3569  0.5000
Y  0.7328  0.2672  0.0000
Y  0.7672  0.7672  0.5000
Y  0.8569  0.8569  0.0000
Fe  0.0000  0.0000  0.3843
Fe  0.0000  0.0000  0.6157
Fe  0.0000  0.5000  0.0000
Fe  0.0000  0.5000  0.5000
Fe  0.0372  0.6410  0.1749
Fe  0.0372  0.6410  0.8251
Fe  0.0665  0.7246  0.3732
Fe  0.0665  0.7246  0.6268
Fe  0.0973  0.9027  0.2009
Fe  0.0973  0.9027  0.7991
Fe  0.1410  0.4628  0.3251
Fe  0.1410  0.4628  0.6749
Fe  0.1827  0.1827  0.2539
Fe  0.1827  0.1827  0.7461
Fe  0.2246  0.4335  0.1268
Fe  0.2246  0.4335  0.8732
Fe  0.2754  0.9335  0.3732
Fe  0.2754  0.9335  0.6268
Fe  0.3173  0.6827  0.2461
Fe  0.3173  0.6827  0.7539
Fe  0.3590  0.9628  0.1749
Fe  0.3590  0.9628  0.8251
Fe  0.4027  0.4027  0.2991
Fe  0.4027  0.4027  0.7009
Fe  0.4335  0.2246  0.1268
Fe  0.4335  0.2246  0.8732
Fe  0.4628  0.1410  0.3251
Fe  0.4628  0.1410  0.6749
Fe  0.5000  0.0000  0.0000
Fe  0.5000  0.0000  0.5000
Fe  0.5000  0.5000  0.1157
Fe  0.5000  0.5000  0.8843
Fe  0.5372  0.8590  0.3251
Fe  0.5372  0.8590  0.6749
Fe  0.5665  0.7754  0.1268
Fe  0.5665  0.7754  0.8732
Fe  0.5973  0.5973  0.2991
Fe  0.5973  0.5973  0.7009
Fe  0.6410  0.0372  0.1749
Fe  0.6410  0.0372  0.8251
Fe  0.6827  0.3173  0.2461
Fe  0.6827  0.3173  0.7539
Fe  0.7246  0.0665  0.3732
Fe  0.7246  0.0665  0.6268
Fe  0.7754  0.5665  0.1268
Fe  0.7754  0.5665  0.8732
Fe  0.8173  0.8173  0.2539
Fe  0.8173  0.8173  0.7461
Fe  0.8590  0.5372  0.3251
Fe  0.8590  0.5372  0.6749
Fe  0.9027  0.0973  0.2009
Fe  0.9027  0.0973  0.7991
Fe  0.9335  0.2754  0.3732
Fe  0.9335  0.2754  0.6268
Fe  0.9628  0.3590  0.1749
Fe  0.9628  0.3590  0.8251
B  0.1249  0.8751  0.5000
B  0.3751  0.3751  0.0000
B  0.6249  0.6249  0.0000
B  0.8751  0.1249  0.5000

Material: TbAl
Method: DFT, PBE-GGA
State: relaxed

abc: 4.7908 4.7908 4.7908
angles: 60.00 60.00 60.00
Element x y z (fractional)
Tb  0.0000  0.0000  0.0000
Al  0.2500  0.2500  0.2500

Number 1: volume 186 Å³/f.u., total energy -5.405 eV per atom, total magnetic moment 0.01 μB per formula unit. Number 2: volume 91 Å³/f.u., total energy -5.699 eV per atom, total magnetic moment 1.19 μB per formula unit. Number 3: volume 120 Å³/f.u., total energy -6.002 eV per atom, total magnetic moment 0.02 μB per formula unit. Number 4: volume 219 Å³/f.u., total energy -3.911 eV per atom, total magnetic moment 0.01 μB per formula unit. Number 5: volume 227 Å³/f.u., total energy -8.106 eV per atom, total magnetic moment 30.94 μB per formula unit. Number 6: volume 78 Å³/f.u., total energy -3.237 eV per atom, total magnetic moment 0.03 μB per formula unit.